First-principles (PBE) data for crystalline CdTe2Au at its relaxed geometry, as listed in the Alexandria database.

Magnetization ... 0.000 μB per atom
Raw formation energy ... -0.06 eV per atom

```
data_CdTe2Au
_chemical_formula_sum 'Cd2 Te4 Au2'
_symmetry_space_group_name_H-M 'I 4/m m m'
_symmetry_Int_Tables_number 139
_symmetry_space_group_name_Hall '-I 4 2'
_cell_length_a 5.979
_cell_length_b 5.979
_cell_length_c 6.073
_cell_angle_alpha 90.00
_cell_angle_beta 90.00
_cell_angle_gamma 90.00
loop_
_atom_site_label
_atom_site_type_symbol
_atom_site_fract_x
_atom_site_fract_y
_atom_site_fract_z
Cd1 Cd 0.000 0.000 0.000
Te1 Te 0.000 0.500 0.000
Au1 Au 0.000 0.000 0.500
```